This record from Alexandria via LeMat-Bulk describes ReAsBr2F after structural relaxation. The functional is PBE.

a = 5.1547 Å, b = 5.1547 Å, c = 3.7967 Å
α = 90.00°, β = 90.00°, γ = 90.00°
Element x y z (fractional)
1 Re 0.5000 0.5000 0.5000
2 As 0.0000 0.0000 0.5000
3 Br 0.0000 0.5000 0.0000
4 Br 0.5000 0.0000 0.0000
5 F 0.0000 0.0000 0.0000

Results
The total magnetic moment comes out at 0.00 μB/cell. The value obtained for the raw formation energy is 1127 meV/atom. The density of states at the Fermi level is 5.97 states/eV/f.u. As for the total DFT energy (no corrections): -3.34 eV/atom.